Entry 1:
Here is Na2Cu3Ge4O12 after structural relaxation from Alexandria via LeMat-Bulk. Energies are from GGA-PBEsol.

Values from the calculation:
crystal system = triclinic
final energy = -6.0623 eV per atom
N(E_F) = 0.0011 states/eV/atom
energy relative to the elements, uncorrected = -1.369 eV/atom

a = 5.500 Å, b = 6.327 Å, c = 7.600 Å
α = 87.39°, β = 77.62°, γ = 88.49°
Fractional positions:
Na 0.091 0.251 0.100
Na 0.909 0.749 0.900
Cu 0.000 0.000 0.500
Cu 0.491 0.838 0.679
Cu 0.509 0.162 0.321
Ge 0.253 0.395 0.678
Ge 0.304 0.780 0.129
Ge 0.696 0.220 0.871
Ge 0.747 0.605 0.322
O 0.057 0.597 0.184
O 0.238 0.993 0.276
O 0.267 0.170 0.547
O 0.289 0.650 0.584
O 0.294 0.882 0.914
O 0.420 0.362 0.857
O 0.580 0.638 0.143
O 0.706 0.118 0.086
O 0.711 0.350 0.416
O 0.733 0.830 0.453
O 0.762 0.007 0.724
O 0.943 0.403 0.816

---

Entry 2:
Here is NbCuGe after structural relaxation from Alexandria via LeMat-Bulk. Energies are from GGA-PBEsol.

Values from the calculation:
crystal system = tetragonal
final energy = -7.0593 eV per atom
N(E_F) = 0.2198 states/eV/atom
formation energy from the elements = -361 meV/atom

a = 3.593 Å, b = 3.593 Å, c = 6.745 Å
α = 90.00°, β = 90.00°, γ = 90.00°
Fractional positions:
Nb 0.250 0.250 0.135
Nb 0.750 0.750 0.865
Cu 0.250 0.750 0.500
Cu 0.750 0.250 0.500
Ge 0.250 0.250 0.744
Ge 0.750 0.750 0.256